Record 1
## Mg3ZrW (meta-GGA SCAN)

Data for a crystal of Mg3ZrW relaxed with PBEsol.

- E (eV per formula unit) = -108.3

a = 4.9683 Å, b = 4.9683 Å, c = 4.9683 Å
α = 90.00°, β = 90.00°, γ = 90.00°
Positions (direct):
Mg1 0.0000 0.0000 0.5000
Mg2 0.0000 0.5000 0.0000
Mg3 0.5000 0.0000 0.0000
Zr1 0.5000 0.5000 0.5000
W1 0.0000 0.0000 0.0000

=====

Record 2
## MgZr2W (meta-GGA SCAN)

Data for a crystal of MgZr2W relaxed with PBEsol.

- E (eV per formula unit) = -134.9

a = 3.7386 Å, b = 4.5259 Å, c = 9.2318 Å
α = 90.00°, β = 90.00°, γ = 90.00°
Positions (direct):
Mg1 0.0000 0.0000 0.0000
Mg2 0.5000 0.5000 0.5000
Zr1 0.0000 0.0000 0.4758
Zr2 0.0000 0.5000 0.2379
Zr3 0.5000 0.0000 0.7379
Zr4 0.5000 0.5000 0.9758
W1 0.0000 0.5000 0.7457
W2 0.5000 0.0000 0.2457

=====

Record 3
## MgZrW2 (meta-GGA SCAN)

Data for a crystal of MgZrW2 relaxed with PBEsol.

- E (eV per formula unit) = -173.4

a = 3.4243 Å, b = 4.4063 Å, c = 9.2724 Å
α = 90.00°, β = 90.00°, γ = 90.00°
Positions (direct):
Mg1 0.0000 0.0000 0.0000
Mg2 0.5000 0.5000 0.5000
Zr1 0.0000 0.0000 0.5000
Zr2 0.5000 0.5000 0.0000
W1 0.0000 0.5000 0.2469
W2 0.0000 0.5000 0.7531
W3 0.5000 0.0000 0.2531
W4 0.5000 0.0000 0.7469

=====

Record 4
## MgZrW2 (meta-GGA SCAN)

Data for a crystal of MgZrW2 relaxed with PBEsol.

- E (eV per formula unit) = -173.5

a = 2.7441 Å, b = 4.7795 Å, c = 5.3780 Å
α = 90.00°, β = 98.76°, γ = 90.00°
Positions (direct):
Mg1 0.0000 0.0000 0.0000
Zr1 0.5000 0.0000 0.5000
W1 0.2370 0.5000 0.7424
W2 0.7630 0.5000 0.2576

=====

Record 5
## Y3Mg (meta-GGA SCAN)

Data for a crystal of Y3Mg relaxed with PBEsol.

- E (eV per formula unit) = -88.4

a = 7.1065 Å, b = 11.7499 Å, c = 5.5242 Å
α = 90.00°, β = 90.00°, γ = 90.00°
Positions (direct):
Y1 0.0000 0.0864 0.2500
Y2 0.0000 0.9136 0.7500
Y3 0.2497 0.1585 0.7500
Y4 0.2503 0.3415 0.2500
Y5 0.2503 0.6585 0.7500
Y6 0.2497 0.8415 0.2500
Y7 0.5000 0.4136 0.7500
Y8 0.5000 0.5864 0.2500
Y9 0.7503 0.1585 0.7500
Y10 0.7497 0.3415 0.2500
Y11 0.7497 0.6585 0.7500
Y12 0.7503 0.8415 0.2500
Mg1 0.0000 0.4065 0.7500
Mg2 0.0000 0.5935 0.2500
Mg3 0.5000 0.0935 0.2500
Mg4 0.5000 0.9065 0.7500

=====

Record 6
## Y17Mg12 (meta-GGA SCAN)

Data for a crystal of Y17Mg12 relaxed with PBEsol.

- E (eV per formula unit) = -533.9

a = 10.0909 Å, b = 10.0909 Å, c = 10.0909 Å
α = 109.47°, β = 109.47°, γ = 109.47°
Positions (direct):
Y1 0.0000 0.0000 0.0000
Y2 0.0000 0.0000 0.3491
Y3 0.0000 0.3125 0.5963
Y4 0.0000 0.3491 0.0000
Y5 0.0000 0.5963 0.3125
Y6 0.2838 0.6875 0.6875
Y7 0.3125 0.0000 0.5963
Y8 0.3125 0.5963 0.0000
Y9 0.3491 0.0000 0.0000
Y10 0.4037 0.4037 0.7162
Y11 0.4037 0.7162 0.4037
Y12 0.5963 0.0000 0.3125
Y13 0.5963 0.3125 0.0000
Y14 0.6509 0.6509 0.6509
Y15 0.6875 0.2838 0.6875
Y16 0.6875 0.6875 0.2838
Y17 0.7162 0.4037 0.4037
Mg1 0.0000 0.6341 0.8163
Mg2 0.0000 0.8163 0.6341
Mg3 0.1823 0.3659 0.3659
Mg4 0.1837 0.1837 0.8177
Mg5 0.1837 0.8177 0.1837
Mg6 0.3659 0.1823 0.3659
Mg7 0.3659 0.3659 0.1823
Mg8 0.6341 0.0000 0.8163
Mg9 0.6341 0.8163 0.0000
Mg10 0.8163 0.0000 0.6341
Mg11 0.8163 0.6341 0.0000
Mg12 0.8177 0.1837 0.1837

=====

Record 7
## Y3Mg4 (meta-GGA SCAN)

Data for a crystal of Y3Mg4 relaxed with PBEsol.

- E (eV per formula unit) = -103.8

a = 3.3804 Å, b = 3.3804 Å, c = 32.0719 Å
α = 90.00°, β = 90.00°, γ = 90.00°
Positions (direct):
Y1 0.0000 0.0000 0.0000
Y2 0.0000 0.0000 0.2904
Y3 0.0000 0.0000 0.7096
Y4 0.5000 0.5000 0.2096
Y5 0.5000 0.5000 0.5000
Y6 0.5000 0.5000 0.7904
Mg1 0.0000 0.0000 0.1354
Mg2 0.0000 0.0000 0.4277
Mg3 0.0000 0.0000 0.5723
Mg4 0.0000 0.0000 0.8646
Mg5 0.5000 0.5000 0.0723
Mg6 0.5000 0.5000 0.3646
Mg7 0.5000 0.5000 0.6354
Mg8 0.5000 0.5000 0.9277

=====

Record 8
## Y3Mg (meta-GGA SCAN)

Data for a crystal of Y3Mg relaxed with PBEsol.

- E (eV per formula unit) = -88.4

a = 3.4853 Å, b = 4.8426 Å, c = 6.8304 Å
α = 90.00°, β = 90.00°, γ = 90.00°
Positions (direct):
Y1 0.0000 0.0000 0.0000
Y2 0.5000 0.5000 0.2529
Y3 0.5000 0.5000 0.7471
Mg1 0.0000 0.0000 0.5000

=====

Record 9
## Y8Mg (meta-GGA SCAN)

Data for a crystal of Y8Mg relaxed with PBEsol.

- E (eV per formula unit) = -227.3

a = 7.7705 Å, b = 7.7705 Å, c = 7.7705 Å
α = 95.86°, β = 95.86°, γ = 142.72°
Positions (direct):
Y1 0.0000 0.3335 0.3335
Y2 0.0000 0.6665 0.6665
Y3 0.3335 0.0000 0.3335
Y4 0.3339 0.3339 0.6677
Y5 0.3339 0.6661 0.0000
Y6 0.6661 0.3339 0.0000
Y7 0.6661 0.6661 0.3323
Y8 0.6665 0.0000 0.6665
Mg1 0.0000 0.0000 0.0000

=====

Record 10
## Y3Mg (meta-GGA SCAN)

Data for a crystal of Y3Mg relaxed with PBEsol.

- E (eV per formula unit) = -88.4

a = 3.5403 Å, b = 5.5275 Å, c = 5.9276 Å
α = 90.00°, β = 90.00°, γ = 90.00°
Positions (direct):
Y1 0.0000 0.0000 0.0000
Y2 0.0000 0.5000 0.3557
Y3 0.5000 0.5000 0.8529
Mg1 0.5000 0.0000 0.5088

=====

Record 11
## Y4Mg3 (meta-GGA SCAN)

Data for a crystal of Y4Mg3 relaxed with PBEsol.

- offset from the most stable computed form (eV per atom) = 0.0426
- E (eV per formula unit) = -126.4

a = 5.9454 Å, b = 5.9454 Å, c = 6.3331 Å
α = 90.00°, β = 90.00°, γ = 120.00°
Positions (direct):
Y1 0.0000 0.0000 0.2456
Y2 0.0000 0.0000 0.7544
Y3 0.3333 0.6667 0.0000
Y4 0.6667 0.3333 0.0000
Mg1 0.0000 0.5000 0.5000
Mg2 0.5000 0.0000 0.5000
Mg3 0.5000 0.5000 0.5000

=====

Record 12
## Y3Mg (meta-GGA SCAN)

Data for a crystal of Y3Mg relaxed with PBEsol.

- E (eV per formula unit) = -88.6

a = 6.9551 Å, b = 6.9551 Å, c = 5.4988 Å
α = 90.00°, β = 90.00°, γ = 120.00°
Positions (direct):
Y1 0.1701 0.3403 0.2500
Y2 0.1701 0.8299 0.2500
Y3 0.3403 0.1701 0.7500
Y4 0.6597 0.8299 0.2500
Y5 0.8299 0.1701 0.7500
Y6 0.8299 0.6597 0.7500
Mg1 0.3333 0.6667 0.7500
Mg2 0.6667 0.3333 0.2500

=====

Number 1: energy of formation from the pure elements 1402.6 meV/atom, total moment 0.084 μB/atom. Number 2: energy of formation from the pure elements 283.8 meV/atom, total moment 0.000 μB/atom. Number 3: energy of formation from the pure elements 411.7 meV/atom, total moment 0.000 μB/atom. Number 4: energy of formation from the pure elements 383.2 meV/atom, total moment 0.000 μB/atom. Number 5: energy of formation from the pure elements 34.6 meV/atom, total moment 0.000 μB/atom. Number 6: energy of formation from the pure elements -31.6 meV/atom, total moment 0.021 μB/atom. Number 7: energy of formation from the pure elements -59.4 meV/atom, total moment 0.032 μB/atom. Number 8: energy of formation from the pure elements 30.4 meV/atom, total moment 0.099 μB/atom. Number 9: energy of formation from the pure elements 49.9 meV/atom, total moment 0.123 μB/atom. Number 10: energy of formation from the pure elements 26.2 meV/atom, total moment 0.413 μB/atom. Number 11: energy of formation from the pure elements -13.3 meV/atom, total moment 0.139 μB/atom. Number 12: energy of formation from the pure elements -17.6 meV/atom, total moment 0.184 μB/atom.